This record from the Alexandria database describes Sr4Pt2I after structural relaxation. The functional is PBE.

Its space group is No. 166. The formation energy from raw total energies is -0.913 eV/atom. For the spin magnetization, the calculation gives 0.000 μB/atom. As for the density of states at the Fermi level: 0.365 states/eV per atom.

Unit cell a=4.4360 b=4.4360 c=15.3206 alpha=81.68 beta=81.68 gamma=60.00
Atoms (fractional coordinates):
Sr1 0.1260 0.1260 0.6221
Sr2 0.2786 0.2786 0.1641
Sr3 0.7214 0.7214 0.8359
Sr4 0.8740 0.8740 0.3779
Pt1 0.4236 0.4236 0.7291
Pt2 0.5764 0.5764 0.2709
I1 0.0000 0.0000 0.0000